A | ## CaTl2Tc (PBE-GGA)

Data for CaTl2Tc after structural relaxation.

Unit cell a=7.1118 b=5.4083 c=3.3079 alpha=89.78 beta=62.66 gamma=121.13
Element x y z (fractional)
Tl 0.5000 0.0000 0.5000
Tc 0.5000 0.5000 0.0000
Tl 0.0000 0.0000 0.0000
Ca 0.0000 0.5000 0.5000

Summary:
SG = No. 12



B | ## CaTl2Tc (PBE-GGA)

Data for CaTl2Tc after structural relaxation.

Unit cell a=5.1779 b=5.1779 c=5.1779 alpha=60.00 beta=60.00 gamma=60.00
Element x y z (fractional)
Tl 0.0000 0.0000 0.0000
Tc 0.7500 0.7500 0.7500
Tl 0.2500 0.2500 0.2500
Ca 0.5000 0.5000 0.5000

Summary:
SG = No. 216



C | ## CaTl2Tc (PBE-GGA)

Data for CaTl2Tc after structural relaxation.

Unit cell a=4.9122 b=3.4211 c=6.0124 alpha=73.40 beta=90.00 gamma=90.00
Element x y z (fractional)
Tl 0.5000 0.1949 0.2372
Tl 0.0000 0.8188 0.9885
Tc 0.5000 0.9389 0.7438
Ca 0.0000 0.5475 0.5305

Summary:
SG = No. 6



D | ## CaTl2Tc (PBE-GGA)

Data for CaTl2Tc after structural relaxation.

Unit cell a=3.5806 b=3.5734 c=7.9434 alpha=63.29 beta=90.00 gamma=90.00
Element x y z (fractional)
Ca 0.5000 0.2500 0.2500
Tl 0.0000 0.4634 0.5361
Tl 0.0000 0.0366 0.9639
Tc 0.5000 0.7500 0.7500

Summary:
SG = No. 123



Tell me which of them is the least stable. Sure, it is B.



A | ## CaTl2Tc (PBE-GGA)

Data for CaTl2Tc after structural relaxation.

Unit cell a=5.7794 b=5.7794 c=5.7794 alpha=136.08 beta=136.08 gamma=63.86
Element x y z (fractional)
Tl 0.0000 0.0000 0.0000
Tl 0.2500 0.7500 0.5000
Ca 0.5000 0.5000 0.0000
Tc 0.7500 0.2500 0.5000

Summary:
SG = No. 119



B | ## CaTl2Tc (PBE-GGA)

Data for CaTl2Tc after structural relaxation.

Unit cell a=5.2449 b=5.2449 c=5.7025 alpha=76.05 beta=76.05 gamma=38.73
Element x y z (fractional)
Tl 0.9821 0.9821 0.0386
Tc 0.2500 0.2500 0.2500
Ca 0.7500 0.7500 0.7500
Tl 0.5179 0.5179 0.4614

Summary:
SG = No. 12



C | ## CaTl2Tc (PBE-GGA)

Data for CaTl2Tc after structural relaxation.

Unit cell a=5.3123 b=5.3123 c=5.3123 alpha=128.65 beta=128.65 gamma=75.57
Element x y z (fractional)
Tl 0.5000 0.5000 0.0000
Tl 0.0000 0.0000 0.0000
Ca 0.2500 0.7500 0.5000
Tc 0.7500 0.2500 0.5000

Summary:
SG = No. 139



Tell me which of them is the least stable. Sure, it is A.



A | ## CaTl2Tc (PBE-GGA)

Data for CaTl2Tc after structural relaxation.

Unit cell a=5.0084 b=5.0084 c=5.0084 alpha=60.00 beta=60.00 gamma=60.00
Element x y z (fractional)
Tl 0.2500 0.2500 0.2500
Ca 0.0000 0.0000 0.0000
Tl 0.7500 0.7500 0.7500
Tc 0.5000 0.5000 0.5000

Summary:
SG = No. 225



B | ## CaTl2Tc (PBE-GGA)

Data for CaTl2Tc after structural relaxation.

Unit cell a=9.5832 b=9.5832 c=9.5832 alpha=20.60 beta=20.60 gamma=20.60
Element x y z (fractional)
Ca 0.2500 0.2500 0.2500
Tl 0.4911 0.4911 0.4911
Tl 0.0089 0.0089 0.0089
Tc 0.7500 0.7500 0.7500

Summary:
SG = No. 166



Tell me which of them is the least stable. Sure, it is B.



A | ## CaTlTc2 (PBE-GGA)

Data for CaTlTc2 after structural relaxation.

Unit cell a=5.5136 b=5.5136 c=2.7765 alpha=90.00 beta=90.00 gamma=114.83
Element x y z (fractional)
Tc 0.0000 0.0000 0.0000
Tc 0.5000 0.5000 0.0000
Tl 0.5000 0.0000 0.5000
Ca 0.0000 0.5000 0.5000

Summary:
SG = No. 65



B | ## CaTlTc2 (PBE-GGA)

Data for CaTlTc2 after structural relaxation.

Unit cell a=5.4960 b=5.4960 c=5.4960 alpha=136.72 beta=136.72 gamma=62.86
Element x y z (fractional)
Tl 0.2500 0.7500 0.5000
Tc 0.5000 0.5000 0.0000
Ca 0.7500 0.2500 0.5000
Tc 0.0000 0.0000 0.0000

Summary:
SG = No. 139



C | ## CaTlTc2 (PBE-GGA)

Data for CaTlTc2 after structural relaxation.

Unit cell a=4.8178 b=4.8178 c=4.8178 alpha=60.00 beta=60.00 gamma=60.00
Element x y z (fractional)
Ca 0.0000 0.0000 0.0000
Tl 0.5000 0.5000 0.5000
Tc 0.7500 0.7500 0.7500
Tc 0.2500 0.2500 0.2500

Summary:
SG = No. 225



Tell me which of them is the least stable. Sure, it is C.



A | ## CaTl3Tc (PBE-GGA)

Data for CaTl3Tc after structural relaxation.

Unit cell a=5.7548 b=5.7548 c=5.7548 alpha=90.00 beta=90.00 gamma=90.00
Element x y z (fractional)
Tl 0.0000 0.5000 0.0000
Tc 0.5000 0.5000 0.5000
Tl 0.5000 0.0000 0.0000
Tl 0.0000 0.0000 0.5000
Ca 0.0000 0.0000 0.0000

Summary:
SG = No. 221



B | ## CaTl3Tc (PBE-GGA)

Data for CaTl3Tc after structural relaxation.

Unit cell a=5.3244 b=5.3244 c=5.3244 alpha=90.00 beta=90.00 gamma=90.00
Element x y z (fractional)
Tc 0.0000 0.0000 0.0000
Ca 0.5000 0.5000 0.5000
Tl 0.0000 0.5000 0.0000
Tl 0.0000 0.0000 0.5000
Tl 0.5000 0.0000 0.0000

Summary:
SG = No. 221



Tell me which of them is the least stable. Sure, it is A.



A | ## CaV2Tc2 (PBE-GGA)

Data for CaV2Tc2 after structural relaxation.

Unit cell a=4.0778 b=4.0778 c=6.2052 alpha=70.82 beta=70.82 gamma=90.00
Element x y z (fractional)
Ca 0.0000 0.0000 0.0000
V 0.2500 0.7500 0.5000
Tc 0.3772 0.3772 0.2455
V 0.7500 0.2500 0.5000
Tc 0.6228 0.6228 0.7545

Summary:
SG = No. 139



B | ## CaV2Tc2 (PBE-GGA)

Data for CaV2Tc2 after structural relaxation.

Unit cell a=7.5973 b=7.5973 c=2.8815 alpha=90.00 beta=90.00 gamma=90.00
Element x y z (fractional)
Ca 0.5000 0.5000 0.0000
V 0.1366 0.3634 0.0000
Ca 0.0000 0.0000 0.0000
V 0.3634 0.8634 0.0000
V 0.6366 0.1366 0.0000
Tc 0.8519 0.3519 0.5000
V 0.8634 0.6366 0.0000
Tc 0.6481 0.8519 0.5000
Tc 0.1481 0.6481 0.5000
Tc 0.3519 0.1481 0.5000

Summary:
SG = No. 127



Tell me which of them is the least stable. Sure, it is B.



A | ## CaV3Tc (PBE-GGA)

Data for CaV3Tc after structural relaxation.

Unit cell a=4.6518 b=4.6518 c=4.6518 alpha=90.00 beta=90.00 gamma=90.00
Element x y z (fractional)
Tc 0.0000 0.0000 0.0000
V 0.0000 0.0000 0.5000
Ca 0.5000 0.5000 0.5000
V 0.0000 0.5000 0.0000
V 0.5000 0.0000 0.0000

Summary:
SG = No. 221



B | ## CaV3Tc (PBE-GGA)

Data for CaV3Tc after structural relaxation.

Unit cell a=4.2927 b=4.2927 c=4.2927 alpha=90.00 beta=90.00 gamma=90.00
Element x y z (fractional)
V 0.0000 0.5000 0.0000
Ca 0.0000 0.0000 0.0000
V 0.5000 0.0000 0.0000
Tc 0.5000 0.5000 0.5000
V 0.0000 0.0000 0.5000

Summary:
SG = No. 221



Tell me which of them is the least stable. Sure, it is B.



A | ## Ca2VTc (PBE-GGA)

Data for Ca2VTc after structural relaxation.

Unit cell a=5.0958 b=5.0958 c=5.0958 alpha=60.00 beta=60.00 gamma=60.00
Element x y z (fractional)
Ca 0.7500 0.7500 0.7500
V 0.0000 0.0000 0.0000
Tc 0.5000 0.5000 0.5000
Ca 0.2500 0.2500 0.2500

Summary:
SG = No. 225



B | ## Ca2VTc (PBE-GGA)

Data for Ca2VTc after structural relaxation.

Unit cell a=8.1112 b=8.1112 c=6.4040 alpha=50.71 beta=50.71 gamma=90.00
Element x y z (fractional)
Ca 0.1109 0.6250 0.2500
Tc 0.0000 0.0000 0.0000
Ca 0.3750 0.3609 0.7500
Ca 0.8750 0.8891 0.7500
Tc 0.7500 0.2500 0.5000
V 0.5000 0.5000 0.0000
Ca 0.6391 0.1250 0.2500
V 0.2500 0.7500 0.5000

Summary:
SG = No. 122



Tell me which of them is the least stable. Sure, it is B.